The following is a DFT calculation (PBE) of an optimized crystal structure of RbNiAsI2.

Computed properties:
formation energy without anion corrections	-0.30	eV per atom
total magnetic moment	0.14	μB per formula unit
volume	34.062	Å³ per atom
total DFT energy (no corrections)	-16.02	eV per cell
D(E_F)	3.84	states/eV per cell

Cell and atoms, written as extended XYZ:
```
5
Lattice="6.1868 0.0000 0.0000 0.0000 6.1868 0.0000 0.0000 0.0000 4.4495" Properties=species:S:1:pos:R:3 pbc="T T T"
Rb 0.0000 0.0000 0.0000
Ni 3.0934 3.0934 0.0000
As 3.0934 3.0934 2.2247
I 0.0000 3.0934 2.2247
I 3.0934 0.0000 2.2247
```